1.
VASP calculation (GGA-PBEsol) on a relaxed structure of Ba2SiO4.

Results
magnetic moment: 0.00 μB/f.u.
space group: Pnma, No. 62
crystal system: orthorhombic
formation energy without anion corrections: -3.003 eV per atom

a = 5.781 Å, b = 7.507 Å, c = 10.231 Å
α = 90.00°, β = 90.00°, γ = 90.00°
Positions (direct):
O  0.750  0.192  0.928
O  0.983  0.191  0.150
O  0.250  0.010  0.584
O  0.483  0.309  0.650
O  0.250  0.808  0.072
O  0.483  0.809  0.850
O  0.517  0.191  0.150
O  0.750  0.692  0.572
O  0.983  0.691  0.350
O  0.750  0.490  0.084
O  0.017  0.809  0.850
O  0.250  0.510  0.916
O  0.017  0.309  0.650
O  0.750  0.990  0.416
O  0.517  0.691  0.350
O  0.250  0.308  0.428
Ba  0.750  0.009  0.693
Ba  0.250  0.159  0.916
Ba  0.750  0.341  0.416
Ba  0.250  0.491  0.193
Ba  0.750  0.509  0.807
Ba  0.250  0.991  0.307
Ba  0.250  0.659  0.584
Ba  0.750  0.841  0.084
Si  0.750  0.772  0.421
Si  0.250  0.728  0.921
Si  0.250  0.228  0.579
Si  0.750  0.272  0.079


2.
VASP calculation (GGA-PBEsol) on a relaxed structure of BaSi2O5.

Results
magnetic moment: 0.00 μB/f.u.
space group: Pnma, No. 62
crystal system: orthorhombic
formation energy without anion corrections: -2.852 eV per atom

a = 5.134 Å, b = 7.456 Å, c = 13.163 Å
α = 90.00°, β = 90.00°, γ = 90.00°
Positions (direct):
O  0.149  0.250  0.265
O  0.282  0.025  0.416
O  0.105  0.455  0.718
O  0.218  0.525  0.916
O  0.718  0.525  0.584
O  0.851  0.750  0.735
O  0.895  0.545  0.282
O  0.605  0.455  0.782
O  0.895  0.955  0.282
O  0.649  0.250  0.235
O  0.718  0.975  0.584
O  0.395  0.545  0.218
O  0.605  0.045  0.782
O  0.105  0.045  0.718
O  0.782  0.025  0.084
O  0.395  0.955  0.218
O  0.218  0.975  0.916
O  0.351  0.750  0.765
O  0.282  0.475  0.416
O  0.782  0.475  0.084
Ba  0.692  0.250  0.462
Ba  0.192  0.250  0.038
Ba  0.808  0.750  0.962
Ba  0.308  0.750  0.538
Si  0.811  0.961  0.699
Si  0.189  0.039  0.301
Si  0.689  0.039  0.199
Si  0.189  0.461  0.301
Si  0.311  0.961  0.801
Si  0.689  0.461  0.199
Si  0.811  0.539  0.699
Si  0.311  0.539  0.801


3.
VASP calculation (GGA-PBEsol) on a relaxed structure of Ba3SiO.

Results
magnetic moment: 0.00 μB/f.u.
space group: Pm-3m, No. 221
crystal system: cubic
formation energy without anion corrections: -1.180 eV per atom

a = 5.335 Å, b = 5.335 Å, c = 5.335 Å
α = 90.00°, β = 90.00°, γ = 90.00°
Positions (direct):
Ba  0.000  0.500  0.000
Ba  0.000  0.000  0.500
Ba  0.500  0.000  0.000
O  0.000  0.000  0.000
Si  0.500  0.500  0.500


4.
VASP calculation (GGA-PBEsol) on a relaxed structure of BaTiSi3O9.

Results
magnetic moment: 0.00 μB/f.u.
space group: P31c, No. 159
crystal system: trigonal
formation energy without anion corrections: -2.960 eV per atom

a = 9.837 Å, b = 11.514 Å, c = 11.514 Å
α = 120.00°, β = 90.00°, γ = 90.00°
Positions (direct):
Ti  0.483  0.333  0.000
Ti  0.483  0.000  0.333
Ti  0.483  0.667  0.667
Ti  0.983  0.333  0.000
Ti  0.983  0.000  0.333
Ti  0.983  0.667  0.667
O  0.098  0.074  0.248
O  0.372  0.075  0.246
O  0.095  0.839  0.260
O  0.368  0.508  0.594
O  0.870  0.582  0.742
O  0.595  0.579  0.740
O  0.231  0.228  0.183
O  0.868  0.492  0.086
O  0.098  0.175  0.926
O  0.231  0.955  0.772
O  0.370  0.418  0.160
O  0.735  0.711  0.150
O  0.235  0.289  0.439
O  0.733  0.106  0.622
O  0.868  0.594  0.508
O  0.594  0.914  0.409
O  0.733  0.378  0.484
O  0.370  0.840  0.258
O  0.595  0.161  0.421
O  0.594  0.591  0.504
O  0.733  0.516  0.894
O  0.870  0.160  0.418
O  0.595  0.260  0.839
O  0.098  0.752  0.825
O  0.872  0.246  0.075
O  0.235  0.561  0.850
O  0.735  0.439  0.289
O  0.731  0.045  0.817
O  0.233  0.622  0.106
O  0.594  0.496  0.086
O  0.094  0.504  0.591
O  0.233  0.484  0.378
O  0.095  0.421  0.161
O  0.370  0.742  0.582
O  0.872  0.925  0.171
O  0.868  0.914  0.406
O  0.368  0.406  0.914
O  0.095  0.740  0.579
O  0.598  0.926  0.175
O  0.094  0.086  0.496
O  0.235  0.150  0.711
O  0.872  0.829  0.754
O  0.731  0.772  0.955
O  0.735  0.850  0.561
O  0.598  0.248  0.074
O  0.368  0.086  0.492
O  0.598  0.825  0.752
O  0.233  0.894  0.516
O  0.731  0.183  0.228
O  0.372  0.754  0.829
O  0.372  0.171  0.925
O  0.870  0.258  0.840
O  0.094  0.409  0.914
O  0.231  0.817  0.045
Si  0.734  0.283  0.163
Si  0.234  0.120  0.837
Si  0.734  0.880  0.717
Si  0.732  0.950  0.497
Si  0.732  0.213  0.383
Si  0.234  0.717  0.880
Si  0.232  0.830  0.617
Si  0.234  0.163  0.283
Si  0.732  0.617  0.830
Si  0.734  0.837  0.120
Si  0.232  0.787  0.170
Si  0.732  0.170  0.787
Si  0.232  0.454  0.503
Si  0.732  0.546  0.050
Si  0.232  0.497  0.950
Si  0.232  0.383  0.213
Si  0.732  0.503  0.454
Si  0.232  0.050  0.546
Ba  0.980  0.333  0.667
Ba  0.980  0.667  0.333
Ba  0.989  0.000  0.000
Ba  0.489  0.000  0.000
Ba  0.480  0.333  0.667
Ba  0.480  0.667  0.333


5.
VASP calculation (GGA-PBEsol) on a relaxed structure of BaTiSi3O9.

Results
magnetic moment: 0.00 μB/f.u.
space group: P-6c2, No. 188
crystal system: hexagonal
formation energy without anion corrections: -2.960 eV per atom

a = 6.648 Å, b = 6.648 Å, c = 9.838 Å
α = 90.00°, β = 90.00°, γ = 120.00°
Positions (direct):
Si  0.930  0.220  0.750
Si  0.780  0.070  0.250
Si  0.930  0.710  0.250
Si  0.290  0.220  0.250
Si  0.290  0.070  0.750
Si  0.780  0.710  0.750
O  0.914  0.345  0.613
O  0.195  0.939  0.250
O  0.195  0.256  0.750
O  0.914  0.568  0.387
O  0.744  0.805  0.250
O  0.655  0.086  0.387
O  0.655  0.086  0.113
O  0.432  0.345  0.387
O  0.744  0.939  0.750
O  0.061  0.256  0.250
O  0.432  0.345  0.113
O  0.914  0.345  0.887
O  0.655  0.568  0.613
O  0.655  0.568  0.887
O  0.061  0.805  0.750
O  0.914  0.568  0.113
O  0.432  0.086  0.613
O  0.432  0.086  0.887
Ba  0.333  0.667  0.000
Ba  0.333  0.667  0.500
Ti  0.667  0.333  0.000
Ti  0.667  0.333  0.500


6.
VASP calculation (GGA-PBEsol) on a relaxed structure of Ba2VSi2O8.

Results
magnetic moment: 1.00 μB/f.u.
space group: P4bm, No. 100
crystal system: tetragonal
formation energy without anion corrections: -2.863 eV per atom

a = 5.224 Å, b = 8.496 Å, c = 8.496 Å
α = 90.00°, β = 90.00°, γ = 90.00°
Positions (direct):
O  0.226  0.500  0.500
O  0.654  0.422  0.704
O  0.226  0.000  0.000
O  0.654  0.204  0.922
O  0.212  0.371  0.871
O  0.654  0.296  0.422
O  0.654  0.922  0.796
O  0.654  0.578  0.296
O  0.654  0.078  0.204
O  0.634  0.500  0.000
O  0.212  0.129  0.371
O  0.654  0.796  0.078
O  0.634  0.000  0.500
O  0.212  0.871  0.629
O  0.654  0.704  0.578
O  0.212  0.629  0.129
Si  0.519  0.870  0.630
Si  0.519  0.130  0.370
Si  0.519  0.370  0.870
Si  0.519  0.630  0.130
Ba  0.996  0.829  0.329
Ba  0.996  0.671  0.829
Ba  0.996  0.329  0.171
Ba  0.996  0.171  0.671
V  0.539  0.500  0.500
V  0.539  0.000  0.000


7.
VASP calculation (GGA-PBEsol) on a relaxed structure of BaVSi2O7.

Results
magnetic moment: 1.00 μB/f.u.
space group: I4/m, No. 87
crystal system: tetragonal
formation energy without anion corrections: -2.774 eV per atom

a = 7.059 Å, b = 7.573 Å, c = 7.059 Å
α = 62.22°, β = 90.00°, γ = 117.78°
Positions (direct):
O  0.459  0.240  0.167
O  0.980  0.000  0.726
O  0.167  0.760  0.781
O  0.219  0.760  0.407
O  0.541  0.760  0.833
O  0.804  0.607  0.196
O  0.407  0.240  0.541
O  0.020  0.000  0.274
O  0.781  0.240  0.593
O  0.726  0.000  0.020
O  0.274  0.000  0.980
O  0.593  0.760  0.459
O  0.833  0.240  0.219
O  0.196  0.393  0.804
Si  0.758  0.000  0.790
Si  0.210  0.000  0.758
Si  0.790  0.000  0.242
Si  0.242  0.000  0.210
Ba  0.750  0.500  0.750
Ba  0.250  0.500  0.250
V  0.338  0.676  0.662
V  0.662  0.324  0.338


8.
VASP calculation (GGA-PBEsol) on a relaxed structure of Ba2ZnSi2O7.

Results
magnetic moment: 0.00 μB/f.u.
space group: C2/c, No. 15
crystal system: monoclinic
formation energy without anion corrections: -2.758 eV per atom

a = 6.823 Å, b = 6.823 Å, c = 8.448 Å
α = 102.90°, β = 102.90°, γ = 103.55°
Positions (direct):
Ba  0.269  0.184  0.474
Ba  0.816  0.731  0.026
Ba  0.731  0.816  0.526
Ba  0.184  0.269  0.974
Zn  0.742  0.258  0.250
Zn  0.258  0.742  0.750
O  0.665  0.335  0.750
O  0.335  0.665  0.250
O  0.978  0.239  0.633
O  0.674  0.381  0.455
O  0.619  0.326  0.045
O  0.645  0.958  0.236
O  0.958  0.645  0.736
O  0.239  0.978  0.133
O  0.042  0.355  0.264
O  0.022  0.761  0.367
O  0.326  0.619  0.545
O  0.761  0.022  0.867
O  0.381  0.674  0.955
O  0.355  0.042  0.764
Si  0.605  0.167  0.863
Si  0.395  0.833  0.137
Si  0.833  0.395  0.637
Si  0.167  0.605  0.363


9.
VASP calculation (GGA-PBEsol) on a relaxed structure of BaSm2O4.

Results
magnetic moment: 0.00 μB/f.u.
space group: Pnma, No. 62
crystal system: orthorhombic
formation energy without anion corrections: -3.217 eV per atom

a = 3.540 Å, b = 10.474 Å, c = 12.278 Å
α = 90.00°, β = 90.00°, γ = 90.00°
Positions (direct):
O  0.250  0.879  0.483
O  0.750  0.621  0.983
O  0.750  0.121  0.517
O  0.250  0.788  0.167
O  0.250  0.069  0.076
O  0.250  0.569  0.424
O  0.250  0.484  0.782
O  0.750  0.712  0.667
O  0.750  0.516  0.218
O  0.250  0.379  0.017
O  0.750  0.016  0.282
O  0.750  0.212  0.833
O  0.250  0.288  0.333
O  0.750  0.931  0.924
O  0.250  0.984  0.718
O  0.750  0.431  0.576
Ba  0.250  0.249  0.648
Ba  0.750  0.251  0.148
Ba  0.250  0.749  0.852
Ba  0.750  0.751  0.352
Sm  0.250  0.576  0.111
Sm  0.750  0.424  0.889
Sm  0.750  0.924  0.611
Sm  0.750  0.921  0.111
Sm  0.250  0.076  0.389
Sm  0.750  0.421  0.389
Sm  0.250  0.079  0.889
Sm  0.250  0.579  0.611


10.
VASP calculation (GGA-PBEsol) on a relaxed structure of Ba2SmWO6.

Results
magnetic moment: 0.00 μB/f.u.
space group: Fm-3m, No. 225
crystal system: cubic
formation energy without anion corrections: -2.835 eV per atom

a = 5.993 Å, b = 5.993 Å, c = 5.993 Å
α = 90.00°, β = 120.00°, γ = 120.00°
Positions (direct):
Ba  0.500  0.750  0.250
Ba  0.500  0.250  0.750
Sm  0.000  0.500  0.500
O  0.000  0.231  0.769
O  0.000  0.769  0.231
O  0.537  0.769  0.769
O  0.000  0.769  0.769
O  0.000  0.231  0.231
O  0.463  0.231  0.231
W  0.000  0.000  0.000


11.
VASP calculation (GGA-PBEsol) on a relaxed structure of Ba3Sm2WO9.

Results
magnetic moment: 0.00 μB/f.u.
space group: Immm, No. 71
crystal system: orthorhombic
formation energy without anion corrections: -2.897 eV per atom

a = 6.119 Å, b = 8.675 Å, c = 10.580 Å
α = 114.20°, β = 106.81°, γ = 90.00°
Positions (direct):
O  0.964  0.237  0.474
O  0.668  0.393  0.337
O  0.155  0.408  0.816
O  0.190  0.912  0.823
O  0.000  0.247  0.000
O  0.633  0.912  0.823
O  0.036  0.763  0.526
O  0.367  0.088  0.177
O  0.510  0.237  0.474
O  0.490  0.763  0.526
O  0.339  0.592  0.184
O  0.332  0.607  0.663
O  0.332  0.057  0.663
O  0.000  0.753  0.000
O  0.845  0.592  0.184
O  0.810  0.088  0.177
O  0.661  0.408  0.816
O  0.668  0.943  0.337
Sm  0.326  0.326  0.651
Sm  0.674  0.674  0.349
Sm  0.000  0.500  0.000
Sm  0.000  0.000  0.000
Ba  0.500  0.741  0.000
Ba  0.839  0.101  0.678
Ba  0.161  0.899  0.322
Ba  0.839  0.577  0.678
Ba  0.500  0.259  0.000
Ba  0.161  0.423  0.322
W  0.664  0.164  0.328
W  0.336  0.836  0.672


12.
VASP calculation (GGA-PBEsol) on a relaxed structure of Ba4Sn3O10.

Results
magnetic moment: 0.00 μB/f.u.
space group: Cmce, No. 64
crystal system: orthorhombic
formation energy without anion corrections: -2.228 eV per atom

a = 5.971 Å, b = 7.338 Å, c = 13.813 Å
α = 90.00°, β = 90.00°, γ = 114.01°
Positions (direct):
Sn  0.137  0.274  0.154
Sn  0.500  0.000  0.500
Sn  0.637  0.274  0.346
Sn  0.363  0.726  0.654
Sn  0.863  0.726  0.846
Sn  0.000  0.000  0.000
O  0.658  0.775  0.963
O  0.137  0.774  0.750
O  0.617  0.775  0.537
O  0.284  0.568  0.168
O  0.117  0.775  0.963
O  0.716  0.432  0.832
O  0.863  0.226  0.250
O  0.531  0.063  0.646
O  0.637  0.774  0.750
O  0.969  0.937  0.146
O  0.883  0.225  0.037
O  0.383  0.225  0.463
O  0.031  0.063  0.854
O  0.363  0.226  0.250
O  0.216  0.432  0.668
O  0.842  0.225  0.463
O  0.342  0.225  0.037
O  0.469  0.937  0.354
O  0.784  0.568  0.332
O  0.158  0.775  0.537
Ba  0.530  0.059  0.857
Ba  0.030  0.059  0.643
Ba  0.266  0.532  0.383
Ba  0.766  0.532  0.117
Ba  0.734  0.468  0.617
Ba  0.234  0.468  0.883
Ba  0.970  0.941  0.357
Ba  0.470  0.941  0.143